# 1
The following is a DFT calculation (PBE) of Hf2BeGeOs after structural relaxation.

The structure belongs to space group P4/mmm (No. 123); the cell edges are 4.622, 4.622 and 4.075 Å and the angles 90.00°, 90.00° and 90.00°. The distinct sites, in fractional coordinates, are Hf at (0.000, 0.500, 0.000), Be at (0.000, 0.000, 0.000), Ge at (0.500, 0.500, 0.500) and Os at (0.000, 0.000, 0.500).

The final energy is -38.8 eV per cell. Its volume is 87.0 Å³/cell. The size of the total moment is 0.000 μB per atom.

# 2
The following is a DFT calculation (PBE) of Cs3RbSi after structural relaxation.

The structure belongs to space group Pm-3m (No. 221); the cell edges are 8.410, 8.410 and 8.410 Å and the angles 90.00°, 90.00° and 90.00°. The distinct sites, in fractional coordinates, are Cs at (0.000, 0.000, 0.500), Rb at (0.000, 0.000, 0.000) and Si at (0.500, 0.500, 0.500).

Its volume is 594.9 Å³/cell. The size of the total moment is 0.400 μB per atom. For the formation energy (no corrections), the calculation gives 0.81 eV/atom.